TmSn2Pt | PBE | optimized geometry

abc: 10.1790 10.1790 10.1790
angles: 19.77 19.77 19.77
Element x y z (fractional)
1 Tm 0.0000 0.0000 0.0000
2 Sn 0.1036 0.1036 0.1036
3 Sn 0.8964 0.8964 0.8964
4 Pt 0.5000 0.5000 0.5000

Values from the calculation:
- energy of formation (eV/atom) = -0.149
- density (g/cm3) = 9.47
- SG = R-3m (166)